## RbBe2CrF8 (PBE with a Hubbard U)

Data for a geometry-optimized RbBe2CrF8 structure.

CIF file:
```
data_RbBe2CrF8
_chemical_formula_sum 'Rb3 Be6 Cr3 F24'
_space_group_name_H-M_alt 'R -3'
_space_group_IT_number 148
_space_group_name_Hall '-R 3'
_cell_length_a 4.8904
_cell_length_b 4.8904
_cell_length_c 25.0777
_cell_angle_alpha 90.00
_cell_angle_beta 90.00
_cell_angle_gamma 120.00
loop_
_atom_site_label
_atom_site_fract_x
_atom_site_fract_y
_atom_site_fract_z
_atom_site_occupancy
Rb1 0.0000 0.0000 0.0000 1
Be1 0.0000 0.0000 0.2356 1
Cr1 0.0000 0.0000 0.5000 1
F1 0.0000 0.0000 0.2953 1
F2 0.0110 0.3870 0.8794 1
```

Computed properties:
Total energy (eV/atom): -5.623